(a)
Crystalline Zn3B at its relaxed geometry, computed with GGA-PBE.

Cell and atoms, written as CIF:
```
data_Zn3B
_chemical_formula_sum 'Zn6 B2'
_space_group_name_H-M_alt 'P 1 21/m 1'
_space_group_IT_number 11
_space_group_name_Hall '-P 2yb'
_cell_length_a 5.053
_cell_length_b 3.650
_cell_length_c 6.010
_cell_angle_alpha 90.00
_cell_angle_beta 107.56
_cell_angle_gamma 90.00
loop_
_atom_site_label
_atom_site_fract_x
_atom_site_fract_y
_atom_site_fract_z
_atom_site_occupancy
Zn1 0.075 0.250 0.225 1
Zn2 0.307 0.250 0.906 1
Zn3 0.337 0.750 0.580 1
B1 0.324 0.750 0.206 1
```

=====

(b)
Crystalline Zn3B at its relaxed geometry, computed with GGA-PBE.

Cell and atoms, written as CIF:
```
data_Zn3B
_chemical_formula_sum 'Zn6 B2'
_space_group_name_H-M_alt 'P 63/m m c'
_space_group_IT_number 194
_space_group_name_Hall '-P 6c 2c'
_cell_length_a 4.9826
_cell_length_b 4.9826
_cell_length_c 4.8665
_cell_angle_alpha 90.00
_cell_angle_beta 90.00
_cell_angle_gamma 120.00
loop_
_atom_site_label
_atom_site_fract_x
_atom_site_fract_y
_atom_site_fract_z
_atom_site_occupancy
Zn1 0.1682 0.3364 0.2500 1
B1 0.3333 0.6667 0.7500 1
```

=====

(a) (15.4 kJ/mol of atoms below the next structure)

=====

(a)
Crystalline KMgTcOs at its relaxed geometry, computed with GGA-PBE.

Cell and atoms, written as CIF:
```
data_KMgTcOs
_chemical_formula_sum 'K4 Mg4 Tc4 Os4'
_space_group_name_H-M_alt 'F -4 3 m'
_space_group_IT_number 216
_space_group_name_Hall 'F -4 2 3'
_cell_length_a 6.770
_cell_length_b 6.770
_cell_length_c 6.770
_cell_angle_alpha 90.00
_cell_angle_beta 90.00
_cell_angle_gamma 90.00
loop_
_atom_site_label
_atom_site_fract_x
_atom_site_fract_y
_atom_site_fract_z
_atom_site_occupancy
K1 0.000 0.000 0.000 1
Mg1 0.000 0.000 0.500 1
Tc1 0.250 0.250 0.750 1
Os1 0.250 0.250 0.250 1
```

=====

(b)
Crystalline KMgTcOs at its relaxed geometry, computed with GGA-PBE.

Cell and atoms, written as CIF:
```
data_KMgTcOs
_chemical_formula_sum 'K4 Mg4 Tc4 Os4'
_space_group_name_H-M_alt 'F -4 3 m'
_space_group_IT_number 216
_space_group_name_Hall 'F -4 2 3'
_cell_length_a 6.568
_cell_length_b 6.568
_cell_length_c 6.568
_cell_angle_alpha 90.00
_cell_angle_beta 90.00
_cell_angle_gamma 90.00
loop_
_atom_site_label
_atom_site_fract_x
_atom_site_fract_y
_atom_site_fract_z
_atom_site_occupancy
K1 0.000 0.000 0.000 1
Mg1 0.250 0.250 0.750 1
Tc1 0.250 0.250 0.250 1
Os1 0.000 0.000 0.500 1
```

=====

(b) (57.8 kJ/mol of atoms below the next structure)

=====

(a)
Crystalline HfAsPO at its relaxed geometry, computed with GGA-PBE.

Cell and atoms, written as CIF:
```
data_HfAsPO
_chemical_formula_sum 'Hf2 As2 P2 O2'
_space_group_name_H-M_alt 'P 4/n m m'
_space_group_IT_number 129
_cell_length_a 4.574
_cell_length_b 4.574
_cell_length_c 6.254
_cell_angle_alpha 90.00
_cell_angle_beta 90.00
_cell_angle_gamma 90.00
loop_
_space_group_symop_operation_xyz
'x,y,z'
'-x,-y,-z'
'-y+1/2,x,z'
'y+1/2,-x,-z'
'-x+1/2,-y+1/2,z'
'x+1/2,y+1/2,-z'
'y,-x+1/2,z'
'-y,x+1/2,-z'
'x+1/2,-y,-z'
'-x+1/2,y,z'
'-y,-x,-z'
'y,x,z'
'-x,y+1/2,-z'
'x,-y+1/2,z'
'y+1/2,x+1/2,-z'
'-y+1/2,-x+1/2,z'
loop_
_atom_site_label
_atom_site_fract_x
_atom_site_fract_y
_atom_site_fract_z
_atom_site_occupancy
Hf1 0.250 0.750 0.000 1
As1 0.250 0.250 0.443 1
P1 0.250 0.250 0.830 1
O1 0.250 0.750 0.500 1
```

=====

(b)
Crystalline HfAsPO at its relaxed geometry, computed with GGA-PBE.

Cell and atoms, written as CIF:
```
data_HfAsPO
_chemical_formula_sum 'Hf2 As2 P2 O2'
_space_group_name_H-M_alt 'P m c 21'
_space_group_IT_number 26
_space_group_name_Hall 'P 2c -2'
_cell_length_a 3.901
_cell_length_b 5.548
_cell_length_c 7.307
_cell_angle_alpha 90.00
_cell_angle_beta 90.00
_cell_angle_gamma 90.00
loop_
_atom_site_label
_atom_site_fract_x
_atom_site_fract_y
_atom_site_fract_z
_atom_site_occupancy
Hf1 0.000 0.039 0.000 1
As1 0.500 0.307 0.583 1
P1 0.500 0.340 0.909 1
O1 0.000 0.130 0.259 1
```

=====

(b) (68.0 kJ/mol of atoms below the next structure)